[1]
NaZr3P: optimized geometry, GGA-PBE.

The structure in CIF format:
```
data_NaZr3P
_chemical_formula_sum 'Na1 Zr3 P1'
_cell_length_a 4.889
_cell_length_b 4.889
_cell_length_c 4.889
_cell_angle_alpha 90.00
_cell_angle_beta 90.00
_cell_angle_gamma 90.00
_symmetry_space_group_name_H-M 'P m -3 m'
_symmetry_Int_Tables_number 221
_symmetry_space_group_name_Hall '-P 4 2 3'
loop_
_atom_site_label
_atom_site_type_symbol
_atom_site_fract_x
_atom_site_fract_y
_atom_site_fract_z
_atom_site_occupancy
Na1 Na 0.000 0.000 0.000 1
Zr1 Zr 0.000 0.000 0.500 1
P1 P 0.500 0.500 0.500 1
```

Values from the calculation:
- Formation energy: 1.46 eV per atom
- Relative energy among the computed polymorphs: 1523 meV/atom
- Magnetization: 0.30 μB per atom

[2]
K4AcRe3O12: optimized geometry, GGA-PBE.

The structure in CIF format:
```
data_K4AcRe3O12
_chemical_formula_sum 'K8 Ac2 Re6 O24'
_cell_length_a 8.334
_cell_length_b 8.334
_cell_length_c 8.334
_cell_angle_alpha 90.00
_cell_angle_beta 90.00
_cell_angle_gamma 90.00
_symmetry_space_group_name_H-M 'I m -3 m'
_symmetry_Int_Tables_number 229
_symmetry_space_group_name_Hall '-I 4 2 3'
loop_
_atom_site_label
_atom_site_type_symbol
_atom_site_fract_x
_atom_site_fract_y
_atom_site_fract_z
_atom_site_occupancy
K1 K 0.250 0.250 0.250 1
Ac1 Ac 0.000 0.000 0.000 1
Re1 Re 0.000 0.000 0.500 1
O1 O 0.000 0.000 0.280 1
O2 O 0.000 0.250 0.500 1
```

Values from the calculation:
- Formation energy without anion corrections: -171 kJ/mol of atoms
- Magnetization: 0.10 μB per atom

[3]
La6AgIr4: optimized geometry, GGA-PBE.

The structure in CIF format:
```
data_La6AgIr4
_chemical_formula_sum 'La24 Ag4 Ir16'
_cell_length_a 4.254
_cell_length_b 13.967
_cell_length_c 21.259
_cell_angle_alpha 90.00
_cell_angle_beta 90.00
_cell_angle_gamma 90.00
_symmetry_space_group_name_H-M 'C m c m'
_symmetry_Int_Tables_number 63
_symmetry_space_group_name_Hall '-C 2c 2'
loop_
_atom_site_label
_atom_site_type_symbol
_atom_site_fract_x
_atom_site_fract_y
_atom_site_fract_z
_atom_site_occupancy
La1 La 0.000 0.000 0.000 1
La2 La 0.000 0.172 0.250 1
La3 La 0.000 0.266 0.582 1
La4 La 0.000 0.467 0.154 1
Ag1 Ag 0.000 0.152 0.750 1
Ir1 Ir 0.000 0.101 0.130 1
Ir2 Ir 0.000 0.365 0.043 1
```

Values from the calculation:
- Formation energy: -0.61 eV per atom
- Magnetization: 0.00 μB per atom